1.
Compound: PrTm2Mg3InGa2
Source: OQMD
Functional: PBE
Structure: optimized geometry

a b c (Å): 4.574 7.387 7.387
angles (deg): 120.87 90.00 90.00
Fractional positions:
1 Ga 0.500 0.327 0.670
2 Pr 0.000 0.560 0.560
3 Ga 0.500 0.670 0.327
4 Tm 0.000 0.436 0.998
5 Tm 0.000 0.998 0.436
6 In 0.000 0.009 0.009
7 Mg 0.500 0.001 0.751
8 Mg 0.500 0.249 0.249
9 Mg 0.500 0.751 0.001

Summary:
- symmetry = Amm2 (38)
- uncorrected energy (eV per atom) = -3.46
- V (Å³/f.u.) = 214.2

***

2.
Compound: TbSm2Mg3InGa2
Source: OQMD
Functional: PBE
Structure: optimized geometry

a b c (Å): 4.591 7.401 7.401
angles (deg): 119.61 90.00 90.00
Fractional positions:
1 Mg 0.500 0.249 0.001
2 Ga 0.500 0.335 0.663
3 Mg 0.500 0.001 0.249
4 Sm 0.000 0.999 0.563
5 Tb 0.000 0.435 0.435
6 Ga 0.500 0.663 0.335
7 In 0.000 0.004 0.004
8 Sm 0.000 0.563 0.999
9 Mg 0.500 0.750 0.750

Summary:
- symmetry = Amm2 (38)
- uncorrected energy (eV per atom) = -3.53
- V (Å³/f.u.) = 218.6

***

3.
Compound: Tb3Mg3InGa2
Source: OQMD
Functional: PBE
Structure: optimized geometry

a b c (Å): 7.345 7.345 4.564
angles (deg): 90.00 90.00 120.00
Fractional positions:
1 Mg 0.000 0.249 0.500
2 Mg 0.249 0.000 0.500
3 Ga 0.667 0.333 0.500
4 Mg 0.751 0.751 0.500
5 Tb 0.438 0.438 0.000
6 Tb 0.000 0.562 0.000
7 In 0.000 0.000 0.000
8 Ga 0.333 0.667 0.500
9 Tb 0.562 0.000 0.000

Summary:
- symmetry = P-62m (189)
- uncorrected energy (eV per atom) = -3.50
- V (Å³/f.u.) = 213.3

***

| no. | total magnetization (μB per cell) |
| --- | --- |
| 1 | 0.003 |
| 2 | 0.009 |
| 3 | 0.000 |